The following is a DFT calculation (PBE) of crystalline NbV5H6 at its relaxed geometry.

Computed properties:
VASP energy   -6.4650 eV per atom
Magnetic moment   0.000 μB per atom

Lattice parameters (Å, degrees): 4.9573 4.9573 5.0131 97.30 97.30 124.71
Closest atoms and distances in Å follow each position.
Sites, in units of the cell vectors:
1 Nb 0.0000 0.0000 0.0000  6 H 1.99-2.14
2 V 0.1686 0.8314 0.5000  6 H 1.91-2.05
3 V 0.3319 0.6681 0.0000  6 H 1.93-2.10
4 V 0.5000 0.5000 0.5000  6 H 1.85-2.04
5 V 0.6681 0.3319 0.0000  6 H 1.93-2.10
6 V 0.8314 0.1686 0.5000  6 H 1.91-2.05
7 H 0.0910 0.4324 0.2628  5 V 1.91-2.08, 1 Nb 2.14
8 H 0.2523 0.2523 0.7358  3 V 1.85-2.05, 1 Nb 1.99
9 H 0.4324 0.0910 0.2628  5 V 1.91-2.08, 1 Nb 2.14
10 H 0.5676 0.9090 0.7372  5 V 1.91-2.08, 1 Nb 2.14
11 H 0.7477 0.7477 0.2642  3 V 1.85-2.05, 1 Nb 1.99
12 H 0.9090 0.5676 0.7372  5 V 1.91-2.08, 1 Nb 2.14